{
  "formula": "Na2UTiSe4",
  "functional": "PBE-GGA",
  "state": "relaxed",
  "cell": [[3.987, 0.000, 0.000], [0.000, 6.786, 0.101], [0.000, -2.402, 7.059]],
  "species": ["Na", "Na", "U", "Ti", "Se", "Se", "Se", "Se"],
  "frac_coords": [[0.500, 0.000, 0.500], [0.000, 0.500, 0.500], [0.000, 0.000, 0.000], [0.500, 0.500, 0.000], [0.500, 0.259, 0.230], [0.500, 0.741, 0.770], [0.000, 0.275, 0.782], [0.000, 0.725, 0.218]],
  "dos_ef_per_ev_atom": 0.56,
  "sg": "P2/m, No. 10",
  "total_magnetization_mub_per_fu": 4.0,
  "e_form_raw_ev_per_atom": -1.18
}